[1]
Crystalline Dy3In2Hg8 at its relaxed geometry. Source: the Alexandria database, functional PBE.

CIF file:
```
data_Dy3In2Hg8
_cell_length_a 6.0554
_cell_length_b 6.0554
_cell_length_c 33.1502
_cell_angle_alpha 90.00
_cell_angle_beta 90.00
_cell_angle_gamma 120.00
_space_group_name_H-M_alt 'R -3 m'
_space_group_IT_number 166
_space_group_name_Hall '-R 3 2"'
loop_
_atom_site_label
_atom_site_fract_x
_atom_site_fract_y
_atom_site_fract_z
Dy1 0.0000 0.0000 0.0000
Dy2 0.0000 0.0000 0.1889
In1 0.0000 0.0000 0.3661
Hg1 0.0000 0.0000 0.2803
Hg2 0.0002 0.5001 0.2239
```

Properties
E_form ... -0.094 eV/atom



[2]
Crystalline SrRh2Br at its relaxed geometry. Source: the Alexandria database, functional PBE.

CIF file:
```
data_SrRh2Br
_cell_length_a 3.3690
_cell_length_b 4.7715
_cell_length_c 5.9008
_cell_angle_alpha 90.00
_cell_angle_beta 90.00
_cell_angle_gamma 90.00
_space_group_name_H-M_alt 'P m m m'
_space_group_IT_number 47
_space_group_name_Hall '-P 2 2'
loop_
_atom_site_label
_atom_site_fract_x
_atom_site_fract_y
_atom_site_fract_z
Sr1 0.0000 0.0000 0.0000
Rh1 0.5000 0.5000 0.2074
Br1 0.0000 0.0000 0.5000
```

Properties
Formation energy from raw total energies ... 0.254 eV per atom
Offset from the most stable computed form ... 509.6 meV/atom



[3]
Crystalline CdRhPb at its relaxed geometry. Source: the Alexandria database, functional PBE.

CIF file:
```
data_CdRhPb
_cell_length_a 11.2789
_cell_length_b 9.0649
_cell_length_c 6.5638
_cell_angle_alpha 90.00
_cell_angle_beta 124.66
_cell_angle_gamma 90.00
_space_group_name_H-M_alt 'C 1 2 1'
_space_group_IT_number 5
_space_group_name_Hall 'C 2y'
loop_
_atom_site_label
_atom_site_fract_x
_atom_site_fract_y
_atom_site_fract_z
Cd1 0.0127 0.0000 0.2669
Cd2 0.2502 0.2654 0.5083
Rh1 0.0000 0.2463 0.0000
Rh2 0.0000 0.7502 0.5000
Rh3 0.2482 0.5194 0.7634
Pb1 0.0180 0.5044 0.2617
Pb2 0.2481 0.7720 0.9948
```

Properties
Offset from the most stable computed form ... 65.9 meV/atom
E_form ... -0.038 eV/atom



[4]
Crystalline ScCoGe2 at its relaxed geometry. Source: the Alexandria database, functional PBE.

CIF file:
```
data_ScCoGe2
_cell_length_a 6.2972
_cell_length_b 6.2972
_cell_length_c 6.2972
_cell_angle_alpha 90.00
_cell_angle_beta 90.00
_cell_angle_gamma 90.00
_space_group_name_H-M_alt 'F m -3 m'
_space_group_IT_number 225
_space_group_name_Hall '-F 4 2 3'
loop_
_atom_site_label
_atom_site_fract_x
_atom_site_fract_y
_atom_site_fract_z
Sc1 0.0000 0.0000 0.0000
Co1 0.0000 0.0000 0.5000
Ge1 0.2500 0.2500 0.2500
```

Properties
E_form ... -0.220 eV/atom



These records have total moment values of 0.000 2.393 0.000 0.000 μB/cell, in the order they appear.
These records have N(E_F) values of 28.9 3.0 15.6 4.6 states/eV/cell, in the order they appear.